Here is a relaxed Cs3Co2O4 crystal from the Alexandria database. Energies are from PBE with a Hubbard U.

## Properties
* relative energy among the computed polymorphs: 0.238 eV/atom
* volume: 187.3 Å³/f.u.
* magnetization: 7.01 μB per formula unit

abc: 14.3460 3.3338 7.8581
angles: 90.00 94.79 90.00
Space group C2/m (No. 12)
One atom of each set of equivalent atoms:
Cs 0.0000 0.0000 0.0000 (multiplicity 2)
Cs 0.1293 0.5000 0.5384 (multiplicity 4)
Co 0.2273 0.5000 0.1379 (multiplicity 4)
O 0.1721 0.5000 0.9140 (multiplicity 4)
O 0.1823 0.0000 0.2729 (multiplicity 4)